Record 1
## CdIn2Br6 (PBE-GGA)

Data for a geometry-optimized CdIn2Br6 structure.

Summary:
The value obtained for the calculated density is 3.68 g/cm3. The space-group type is C2/c. The calculation puts the energy above the most stable polymorph in this dataset at 49 kJ/mol of formula units. The value obtained for the raw formation energy is -698 meV/atom.

a = 8.834 Å, b = 8.834 Å, c = 10.325 Å
α = 105.06°, β = 105.06°, γ = 77.15°
Atoms (fractional coordinates):
Cd 0.049 0.951 0.750
Cd 0.951 0.049 0.250
In 0.276 0.282 0.260
In 0.282 0.276 0.760
In 0.718 0.724 0.240
In 0.724 0.718 0.740
Br 0.023 0.790 0.361
Br 0.045 0.642 0.716
Br 0.210 0.977 0.139
Br 0.301 0.379 0.037
Br 0.358 0.955 0.784
Br 0.379 0.301 0.537
Br 0.621 0.699 0.463
Br 0.642 0.045 0.216
Br 0.699 0.621 0.963
Br 0.790 0.023 0.861
Br 0.955 0.358 0.284
Br 0.977 0.210 0.639



Record 2
## Cd2InBr (PBE-GGA)

Data for a geometry-optimized Cd2InBr structure.

Summary:
The value obtained for the calculated density is 6.40 g/cm3. The space-group type is P4mm. The calculation puts the energy above the most stable polymorph in this dataset at 4 kJ/mol of formula units. The value obtained for the raw formation energy is -166 meV/atom.

a = 3.774 Å, b = 3.774 Å, c = 7.645 Å
α = 90.00°, β = 90.00°, γ = 90.00°
Atoms (fractional coordinates):
Cd 0.000 0.000 0.000
Cd 0.500 0.500 0.221
In 0.000 0.000 0.455
Br 0.500 0.500 0.758



Record 3
## Cd3InBr (PBE-GGA)

Data for a geometry-optimized Cd3InBr structure.

Summary:
The value obtained for the calculated density is 4.53 g/cm3. The space-group type is Pm-3m. The calculation puts the energy above the most stable polymorph in this dataset at 192 kJ/mol of formula units. The value obtained for the raw formation energy is 396 meV/atom.

a = 5.797 Å, b = 5.797 Å, c = 5.797 Å
α = 90.00°, β = 90.00°, γ = 90.00°
Atoms (fractional coordinates):
Cd 0.000 0.000 0.500
Cd 0.000 0.500 0.000
Cd 0.500 0.000 0.000
In 0.500 0.500 0.500
Br 0.000 0.000 0.000



Record 4
## Cd2InBr (PBE-GGA)

Data for a geometry-optimized Cd2InBr structure.

Summary:
The value obtained for the calculated density is 6.09 g/cm3. The space-group type is R-3m. The calculation puts the energy above the most stable polymorph in this dataset at 1 kJ/mol of formula units. The value obtained for the raw formation energy is -175 meV/atom.

a = 4.097 Å, b = 4.097 Å, c = 23.619 Å
α = 90.00°, β = 90.00°, γ = 120.00°
Atoms (fractional coordinates):
Cd 0.000 0.000 0.247
Cd 0.000 0.000 0.753
Cd 0.333 0.667 0.420
Cd 0.333 0.667 0.913
Cd 0.667 0.333 0.087
Cd 0.667 0.333 0.580
In 0.000 0.000 0.500
In 0.333 0.667 0.167
In 0.667 0.333 0.833
Br 0.000 0.000 0.000
Br 0.333 0.667 0.667
Br 0.667 0.333 0.333



Record 5
## Cd3InBr7 (PBE-GGA)

Data for a geometry-optimized Cd3InBr7 structure.

Summary:
The value obtained for the calculated density is 4.22 g/cm3. The space-group type is C2/m. The value obtained for the raw formation energy is -773 meV/atom.

a = 7.652 Å, b = 7.652 Å, c = 7.003 Å
α = 91.62°, β = 91.62°, γ = 76.42°
Atoms (fractional coordinates):
Cd 0.000 0.000 0.000
Cd 0.202 0.798 0.500
Cd 0.798 0.202 0.500
In 0.500 0.500 0.000
Br 0.086 0.663 0.810
Br 0.139 0.139 0.681
Br 0.337 0.914 0.190
Br 0.500 0.500 0.500
Br 0.663 0.086 0.810
Br 0.861 0.861 0.319
Br 0.914 0.337 0.190



Record 6
## Cd2InBr (PBE-GGA)

Data for a geometry-optimized Cd2InBr structure.

Summary:
The value obtained for the calculated density is 6.06 g/cm3. The space-group type is C2/m. The calculation puts the energy above the most stable polymorph in this dataset at 0 kJ/mol of formula units. The value obtained for the raw formation energy is -176 meV/atom.

a = 6.187 Å, b = 11.934 Å, c = 3.863 Å
α = 90.00°, β = 126.22°, γ = 90.00°
Atoms (fractional coordinates):
Cd 0.250 0.250 0.000
Cd 0.250 0.750 0.000
Cd 0.750 0.250 0.000
Cd 0.750 0.750 0.000
In 0.000 0.000 0.500
In 0.500 0.500 0.500
Br 0.000 0.500 0.500
Br 0.500 0.000 0.500



Record 7
## Cd3InBr (PBE-GGA)

Data for a geometry-optimized Cd3InBr structure.

Summary:
The value obtained for the calculated density is 5.28 g/cm3. The space-group type is Pm-3m. The calculation puts the energy above the most stable polymorph in this dataset at 0 kJ/mol of formula units. The value obtained for the raw formation energy is -3 meV/atom.

a = 5.510 Å, b = 5.510 Å, c = 5.510 Å
α = 90.00°, β = 90.00°, γ = 90.00°
Atoms (fractional coordinates):
Cd 0.000 0.000 0.500
Cd 0.000 0.500 0.000
Cd 0.500 0.000 0.000
In 0.000 0.000 0.000
Br 0.500 0.500 0.500



Record 8
## CdIn4Br6 (PBE-GGA)

Data for a geometry-optimized CdIn4Br6 structure.

Summary:
The value obtained for the calculated density is 3.77 g/cm3. The space-group type is Cc. The value obtained for the raw formation energy is -679 meV/atom.

a = 9.610 Å, b = 9.610 Å, c = 14.433 Å
α = 115.58°, β = 115.58°, γ = 52.52°
Atoms (fractional coordinates):
Cd 0.237 0.763 0.500
Cd 0.763 0.237 0.000
In 0.210 0.350 0.570
In 0.237 0.911 0.263
In 0.262 0.644 0.892
In 0.350 0.210 0.070
In 0.619 0.823 0.768
In 0.644 0.262 0.392
In 0.823 0.619 0.268
In 0.911 0.237 0.763
Br 0.014 0.474 0.735
Br 0.210 0.592 0.298
Br 0.292 0.946 0.861
Br 0.405 0.930 0.539
Br 0.474 0.014 0.235
Br 0.493 0.515 0.610
Br 0.515 0.493 0.110
Br 0.592 0.210 0.798
Br 0.915 0.948 0.533
Br 0.930 0.405 0.039
Br 0.946 0.292 0.361
Br 0.948 0.915 0.033